(1)
PBE-GGA ZrCd2Rh, optimized geometry; space-group type = C2/m, No. 12; total DFT energy (no corrections) = -18.02 eV per cell; formation enthalpy at 0 K = -0.3 eV/f.u.; N(E_F) = 0.628 states/eV per atom
1.0
6.287 0.191 0.657
-2.556 4.793 -0.318
1.176 0.767 2.639
Cd Rh Zr
2 1 1
Direct
0.000 0.000 0.000
0.500 0.000 0.500
0.000 0.500 0.500
0.500 0.500 0.000

***

(2)
PBE-GGA ZrCdRh2, optimized geometry; space-group type = P4mm, No. 99; total DFT energy (no corrections) = -25.50 eV per cell; formation enthalpy at 0 K = -1.3 eV/f.u.; N(E_F) = 0.485 states/eV per atom
1.0
-2.397 0.463 2.608
-2.174 -2.353 -1.581
2.372 -4.152 2.918
Zr Cd Rh
1 1 2
Direct
0.000 0.000 0.460
0.500 0.500 0.781
0.500 0.500 0.276
0.000 0.000 0.983

***

(3)
PBE-GGA ZrCd2Rh, optimized geometry; space-group type = Immm, No. 71; total DFT energy (no corrections) = -18.48 eV per cell; formation enthalpy at 0 K = -0.8 eV/f.u.; N(E_F) = 0.791 states/eV per atom
1.0
-2.705 -4.084 3.327
1.885 -1.477 5.416
-1.954 4.196 -3.692
Cd Zr Rh
2 1 1
Direct
0.974 0.974 0.000
0.526 0.526 0.000
0.250 0.750 0.500
0.750 0.250 0.500

***

(4)
PBE-GGA ZrCdRh2, optimized geometry; space-group type = P4mm, No. 99; total DFT energy (no corrections) = -24.68 eV per cell; formation enthalpy at 0 K = -0.5 eV/f.u.; N(E_F) = 1.353 states/eV per atom
1.0
3.018 0.006 0.000
-0.005 3.018 0.000
0.000 0.000 7.822
Rh Zr Cd
2 1 1
Direct
0.000 0.000 0.013
0.500 0.500 0.245
0.000 0.000 0.466
0.500 0.500 0.776

***

(5)
PBE-GGA ZrCd2Rh, optimized geometry; space-group type = Cm, No. 8; total DFT energy (no corrections) = -18.57 eV per cell; formation enthalpy at 0 K = -0.8 eV/f.u.; N(E_F) = 0.306 states/eV per atom
1.0
-2.432 1.860 -4.102
-0.219 -0.058 -5.114
-3.673 -3.695 -1.032
Cd Rh Zr
2 1 1
Direct
0.996 0.996 0.020
0.234 0.234 0.230
0.502 0.502 0.548
0.768 0.768 0.702

***

(6)
PBE-GGA ZrCd2Rh, optimized geometry; space-group type = Pmm2, No. 25; total DFT energy (no corrections) = -19.06 eV per cell; formation enthalpy at 0 K = -1.3 eV/f.u.; N(E_F) = 0.476 states/eV per atom
1.0
3.350 0.000 0.000
0.000 3.371 -0.013
0.000 3.394 7.067
Cd Rh Zr
2 1 1
Direct
0.000 0.001 0.999
0.500 0.231 0.269
0.000 0.477 0.523
0.500 0.791 0.709

***

In the order shown, the computed magnetization values come out to 0.0, 0.0, 0.0, 0.0, 0.0, 0.0 μB per formula unit.